First-principles (GGA-PBE) data for Be4TeAu after structural relaxation, as listed in the Alexandria database.

## Properties
Symmetry: F-43m
Total magnetization: 0.000 Bohr magnetons per cell
Crystal system: cubic
Formation energy from raw total energies: 0.4648 eV per atom
Fermi-level density of states: 1.8 states/eV/cell

Unit cell a=4.840 b=4.840 c=4.840 alpha=60.00 beta=60.00 gamma=60.00
Fractional positions:
Be  0.625  0.625  0.124
Be  0.625  0.124  0.625
Be  0.625  0.625  0.625
Be  0.124  0.625  0.625
Te  0.250  0.250  0.250
Au  0.000  0.000  0.000